Below is a relaxed CrMo2Pt crystal, with properties calculated at the GGA-PBE level.

POSCAR file:
```
CrMo2Pt
1.0
2.7066 0.0000 0.0000
0.0000 2.7066 0.0000
0.0000 0.0000 8.1017
Cr Mo Pt
1 2 1
Cartesian
1.3533 1.3533 6.0763
0.0000 0.0000 8.0166
0.0000 0.0000 4.1359
1.3533 1.3533 2.0254
```

Calculated values
- VASP energy (eV for the cell shown) = -37.2